(1)
# CaCu2Pt2

A relaxed CaCu2Pt2 crystal (PBE, the Alexandria database).

Cell and atoms, written as CIF:
```
data_CaCu2Pt2
_symmetry_space_group_name_H-M 'P 1'
_symmetry_Int_Tables_number 1
_cell_length_a 7.475
_cell_length_b 7.475
_cell_length_c 2.938
_cell_angle_alpha 90.00
_cell_angle_beta 90.00
_cell_angle_gamma 90.00
loop_
_symmetry_equiv_pos_as_xyz
'x,y,z'
loop_
_atom_site_label
_atom_site_type_symbol
_atom_site_fract_x
_atom_site_fract_y
_atom_site_fract_z
Ca1 Ca 0.000 0.000 0.000
Ca2 Ca 0.500 0.500 0.000
Pt1 Pt 0.635 0.135 0.000
Cu1 Cu 0.339 0.161 0.500
Cu2 Cu 0.161 0.661 0.500
Pt2 Pt 0.135 0.365 0.000
Pt3 Pt 0.365 0.865 0.000
Cu3 Cu 0.661 0.839 0.500
Pt4 Pt 0.865 0.635 0.000
Cu4 Cu 0.839 0.339 0.500
```

- energy (eV/cell) = -48.02
- ΔE_f (eV per atom) = -0.347
- E above lowest polymorph (kJ per mole of atoms) = 5.1
- total moment (μB/cell) = 0.00

=====

(2)
# CaCuPt2

A relaxed CaCuPt2 crystal (PBE, the Alexandria database).

Cell and atoms, written as CIF:
```
data_CaCuPt2
_symmetry_space_group_name_H-M 'P 1'
_symmetry_Int_Tables_number 1
_cell_length_a 5.055
_cell_length_b 5.055
_cell_length_c 5.055
_cell_angle_alpha 132.64
_cell_angle_beta 132.64
_cell_angle_gamma 69.23
loop_
_symmetry_equiv_pos_as_xyz
'x,y,z'
loop_
_atom_site_label
_atom_site_type_symbol
_atom_site_fract_x
_atom_site_fract_y
_atom_site_fract_z
Ca1 Ca 0.500 0.500 0.000
Cu1 Cu 0.750 0.250 0.500
Pt1 Pt 0.250 0.750 0.500
Pt2 Pt 0.000 0.000 0.000
```

- energy (eV/cell) = -19.72
- ΔE_f (eV per atom) = -0.385
- total moment (μB/cell) = 0.00

=====

(3)
# Ca2Cu5Pt5

A relaxed Ca2Cu5Pt5 crystal (PBE, the Alexandria database).

Cell and atoms, written as CIF:
```
data_Ca2Cu5Pt5
_symmetry_space_group_name_H-M 'P 1'
_symmetry_Int_Tables_number 1
_cell_length_a 4.119
_cell_length_b 5.475
_cell_length_c 9.048
_cell_angle_alpha 90.00
_cell_angle_beta 90.00
_cell_angle_gamma 90.00
loop_
_symmetry_equiv_pos_as_xyz
'x,y,z'
loop_
_atom_site_label
_atom_site_type_symbol
_atom_site_fract_x
_atom_site_fract_y
_atom_site_fract_z
Cu1 Cu 0.000 0.500 0.329
Ca1 Ca 0.000 0.000 0.500
Cu2 Cu 0.500 0.000 0.000
Cu3 Cu 0.000 0.000 0.841
Pt1 Pt 0.500 0.752 0.243
Cu4 Cu 0.000 0.500 0.671
Pt2 Pt 0.500 0.500 0.500
Pt3 Pt 0.500 0.752 0.757
Ca2 Ca 0.000 0.500 0.000
Pt4 Pt 0.500 0.248 0.243
Pt5 Pt 0.500 0.248 0.757
Cu5 Cu 0.000 0.000 0.159
```

- energy (eV/cell) = -60.50
- ΔE_f (eV per atom) = -0.484
- total moment (μB/cell) = 0.00

=====

(4)
# CaCuPt2

A relaxed CaCuPt2 crystal (PBE, the Alexandria database).

Cell and atoms, written as CIF:
```
data_CaCuPt2
_symmetry_space_group_name_H-M 'P 1'
_symmetry_Int_Tables_number 1
_cell_length_a 8.986
_cell_length_b 8.986
_cell_length_c 8.986
_cell_angle_alpha 19.08
_cell_angle_beta 19.08
_cell_angle_gamma 19.08
loop_
_symmetry_equiv_pos_as_xyz
'x,y,z'
loop_
_atom_site_label
_atom_site_type_symbol
_atom_site_fract_x
_atom_site_fract_y
_atom_site_fract_z
Pt1 Pt 0.494 0.494 0.494
Ca1 Ca 0.250 0.250 0.250
Cu1 Cu 0.750 0.750 0.750
Pt2 Pt 0.006 0.006 0.006
```

- energy (eV/cell) = -18.71
- ΔE_f (eV per atom) = -0.133
- total moment (μB/cell) = 0.00

=====

(5)
# CaCu2Pt

A relaxed CaCu2Pt crystal (PBE, the Alexandria database).

Cell and atoms, written as CIF:
```
data_CaCu2Pt
_symmetry_space_group_name_H-M 'P 1'
_symmetry_Int_Tables_number 1
_cell_length_a 4.999
_cell_length_b 4.999
_cell_length_c 4.999
_cell_angle_alpha 133.73
_cell_angle_beta 131.68
_cell_angle_gamma 69.13
loop_
_symmetry_equiv_pos_as_xyz
'x,y,z'
loop_
_atom_site_label
_atom_site_type_symbol
_atom_site_fract_x
_atom_site_fract_y
_atom_site_fract_z
Cu1 Cu 0.755 0.255 0.500
Ca1 Ca 0.248 0.748 0.500
Pt1 Pt 0.503 0.503 0.000
Cu2 Cu 0.994 0.994 0.000
```

- energy (eV/cell) = -17.17
- ΔE_f (eV per atom) = -0.234
- total moment (μB/cell) = 0.00

=====

(6)
# Ca2CuPt2

A relaxed Ca2CuPt2 crystal (PBE, the Alexandria database).

Cell and atoms, written as CIF:
```
data_Ca2CuPt2
_symmetry_space_group_name_H-M 'P 1'
_symmetry_Int_Tables_number 1
_cell_length_a 6.926
_cell_length_b 6.926
_cell_length_c 4.336
_cell_angle_alpha 90.00
_cell_angle_beta 90.00
_cell_angle_gamma 90.00
loop_
_symmetry_equiv_pos_as_xyz
'x,y,z'
loop_
_atom_site_label
_atom_site_type_symbol
_atom_site_fract_x
_atom_site_fract_y
_atom_site_fract_z
Pt1 Pt 0.862 0.638 0.000
Cu1 Cu 0.000 0.000 0.000
Cu2 Cu 0.500 0.500 0.000
Pt2 Pt 0.362 0.862 0.000
Ca1 Ca 0.171 0.671 0.500
Ca2 Ca 0.829 0.329 0.500
Ca3 Ca 0.329 0.171 0.500
Pt3 Pt 0.638 0.138 0.000
Pt4 Pt 0.138 0.362 0.000
Ca4 Ca 0.671 0.829 0.500
```

- energy (eV/cell) = -46.61
- ΔE_f (eV per atom) = -0.624
- total moment (μB/cell) = 0.00

=====

(7)
# CaCuPt2

A relaxed CaCuPt2 crystal (PBE, the Alexandria database).

Cell and atoms, written as CIF:
```
data_CaCuPt2
_symmetry_space_group_name_H-M 'P 1'
_symmetry_Int_Tables_number 1
_cell_length_a 2.872
_cell_length_b 4.110
_cell_length_c 5.848
_cell_angle_alpha 90.00
_cell_angle_beta 90.00
_cell_angle_gamma 90.00
loop_
_symmetry_equiv_pos_as_xyz
'x,y,z'
loop_
_atom_site_label
_atom_site_type_symbol
_atom_site_fract_x
_atom_site_fract_y
_atom_site_fract_z
Pt1 Pt 0.000 0.000 0.975
Cu1 Cu 0.500 0.500 0.797
Ca1 Ca 0.000 0.000 0.492
Pt2 Pt 0.500 0.500 0.236
```

- energy (eV/cell) = -19.48
- ΔE_f (eV per atom) = -0.325
- total moment (μB/cell) = 0.00

=====

(8)
# Ca8CuPt2

A relaxed Ca8CuPt2 crystal (PBE, the Alexandria database).

Cell and atoms, written as CIF:
```
data_Ca8CuPt2
_symmetry_space_group_name_H-M 'P 1'
_symmetry_Int_Tables_number 1
_cell_length_a 6.023
_cell_length_b 7.925
_cell_length_c 7.925
_cell_angle_alpha 111.14
_cell_angle_beta 98.67
_cell_angle_gamma 98.67
loop_
_symmetry_equiv_pos_as_xyz
'x,y,z'
loop_
_atom_site_label
_atom_site_type_symbol
_atom_site_fract_x
_atom_site_fract_y
_atom_site_fract_z
Cu1 Cu 0.153 0.005 0.005
Ca1 Ca 0.386 0.667 0.935
Ca2 Ca 0.986 0.229 0.771
Pt1 Pt 0.491 0.319 0.691
Ca3 Ca 0.572 0.338 0.071
Ca4 Ca 0.790 0.632 0.632
Pt2 Pt 0.491 0.691 0.319
Ca5 Ca 0.189 0.375 0.375
Ca6 Ca 0.572 0.071 0.338
Ca7 Ca 0.986 0.771 0.229
Ca8 Ca 0.386 0.935 0.667
```

- energy (eV/cell) = -36.75
- ΔE_f (eV per atom) = -0.414
- total moment (μB/cell) = 0.00

=====

(9)
# CaCu2Pt

A relaxed CaCu2Pt crystal (PBE, the Alexandria database).

Cell and atoms, written as CIF:
```
data_CaCu2Pt
_symmetry_space_group_name_H-M 'P 1'
_symmetry_Int_Tables_number 1
_cell_length_a 4.312
_cell_length_b 4.312
_cell_length_c 5.422
_cell_angle_alpha 66.62
_cell_angle_beta 66.62
_cell_angle_gamma 60.04
loop_
_symmetry_equiv_pos_as_xyz
'x,y,z'
loop_
_atom_site_label
_atom_site_type_symbol
_atom_site_fract_x
_atom_site_fract_y
_atom_site_fract_z
Cu1 Cu 0.056 0.056 0.834
Ca1 Ca 0.247 0.247 0.257
Pt1 Pt 0.447 0.447 0.660
Cu2 Cu 0.750 0.750 0.749
```

- energy (eV/cell) = -17.73
- ΔE_f (eV per atom) = -0.374
- total moment (μB/cell) = 0.00

=====

(10)
# Ca4CuPt

A relaxed Ca4CuPt crystal (PBE, the Alexandria database).

Cell and atoms, written as CIF:
```
data_Ca4CuPt
_symmetry_space_group_name_H-M 'P 1'
_symmetry_Int_Tables_number 1
_cell_length_a 6.151
_cell_length_b 6.151
_cell_length_c 6.151
_cell_angle_alpha 60.00
_cell_angle_beta 60.00
_cell_angle_gamma 60.00
loop_
_symmetry_equiv_pos_as_xyz
'x,y,z'
loop_
_atom_site_label
_atom_site_type_symbol
_atom_site_fract_x
_atom_site_fract_y
_atom_site_fract_z
Cu1 Cu 0.750 0.750 0.750
Ca1 Ca 0.877 0.374 0.374
Ca2 Ca 0.374 0.877 0.374
Pt1 Pt 0.000 0.000 0.000
Ca3 Ca 0.374 0.374 0.877
Ca4 Ca 0.374 0.374 0.374
```

- energy (eV/cell) = -14.65
- ΔE_f (eV per atom) = 0.582
- total moment (μB/cell) = 0.00

=====

(11)
# CaCu2Pt

A relaxed CaCu2Pt crystal (PBE, the Alexandria database).

Cell and atoms, written as CIF:
```
data_CaCu2Pt
_symmetry_space_group_name_H-M 'P 1'
_symmetry_Int_Tables_number 1
_cell_length_a 3.974
_cell_length_b 4.059
_cell_length_c 4.059
_cell_angle_alpha 90.00
_cell_angle_beta 90.00
_cell_angle_gamma 90.00
loop_
_symmetry_equiv_pos_as_xyz
'x,y,z'
loop_
_atom_site_label
_atom_site_type_symbol
_atom_site_fract_x
_atom_site_fract_y
_atom_site_fract_z
Ca1 Ca 0.500 0.000 0.500
Cu1 Cu 0.000 0.000 0.000
Pt1 Pt 0.500 0.500 0.000
Cu2 Cu 0.000 0.500 0.500
```

- energy (eV/cell) = -17.23
- ΔE_f (eV per atom) = -0.248
- total moment (μB/cell) = 0.00

=====

(12)
# CaCuPt2

A relaxed CaCuPt2 crystal (PBE, the Alexandria database).

Cell and atoms, written as CIF:
```
data_CaCuPt2
_symmetry_space_group_name_H-M 'P 1'
_symmetry_Int_Tables_number 1
_cell_length_a 6.580
_cell_length_b 4.802
_cell_length_c 3.045
_cell_angle_alpha 90.06
_cell_angle_beta 62.33
_cell_angle_gamma 122.54
loop_
_symmetry_equiv_pos_as_xyz
'x,y,z'
loop_
_atom_site_label
_atom_site_type_symbol
_atom_site_fract_x
_atom_site_fract_y
_atom_site_fract_z
Ca1 Ca 0.000 0.500 0.500
Pt1 Pt 0.500 0.000 0.500
Cu1 Cu 0.500 0.500 0.000
Pt2 Pt 0.000 0.000 0.000
```

- energy (eV/cell) = -19.71
- ΔE_f (eV per atom) = -0.384
- total moment (μB/cell) = 0.00

=====

Q: What is the ΔE_f in the eleventh record?
A: -0.248 eV per atom

=====

Q: The highest energy belongs to which entry?
A: Ca4CuPt

=====

Q: What is the ΔE_f in the ninth record?
A: -0.374 eV per atom